# PBE Hf3ZrTi, relaxed
# Energy of formation from the pure elements = 0.81 eV per atom
# Crystal system = cubic
# Polymorph energy (0 for the lowest one) = 0.676 eV per atom
# Magnetization = 0.00 μB per atom
data_Hf3ZrTi
_cell_length_a 4.9119
_cell_length_b 4.9119
_cell_length_c 4.9119
_cell_angle_alpha 90.00
_cell_angle_beta 90.00
_cell_angle_gamma 90.00
_space_group_name_H-M_alt 'P m -3 m'
_space_group_IT_number 221
_space_group_name_Hall '-P 4 2 3'
loop_
_atom_site_label
_atom_site_type_symbol
_atom_site_fract_x
_atom_site_fract_y
_atom_site_fract_z
Hf1 Hf 0.0000 0.0000 0.5000
Zr1 Zr 0.5000 0.5000 0.5000
Ti1 Ti 0.0000 0.0000 0.0000

=====

# PBE NaH6CN2ClO2, relaxed
# Crystal system = monoclinic
# Raw total energy = -281.16 eV for the cell shown
# Magnetization = 0.00 μB per atom
data_NaH6CN2ClO2
_cell_length_a 18.8131
_cell_length_b 5.1319
_cell_length_c 6.6481
_cell_angle_alpha 90.00
_cell_angle_beta 110.31
_cell_angle_gamma 90.00
_space_group_name_H-M_alt 'C 1 2 1'
_space_group_IT_number 5
loop_
_space_group_symop_operation_xyz
'x,y,z'
'-x,y,-z'
'x+1/2,y+1/2,z'
'-x+1/2,y+1/2,-z'
loop_
_atom_site_label
_atom_site_type_symbol
_atom_site_fract_x
_atom_site_fract_y
_atom_site_fract_z
Na1 Na 0.0023 0.0000 0.2651
H1 H 0.0428 0.4746 0.5426
H2 H 0.0438 0.5681 0.0399
H3 H 0.1673 0.5134 0.4360
H4 H 0.1771 0.0376 0.9075
H5 H 0.2391 0.4287 0.1289
H6 H 0.2451 0.1062 0.3736
C1 C 0.1606 0.7836 0.6575
N1 N 0.1975 0.6272 0.5626
N2 N 0.2032 0.9335 0.8222
Cl1 Cl 0.1191 0.2359 0.1262
O1 O 0.0000 0.3493 0.5000
O2 O 0.0000 0.6889 0.0000
O3 O 0.0884 0.7910 0.5933

=====

# PBE SnAuSe3, relaxed
# Crystal system = orthorhombic
# Polymorph energy (0 for the lowest one) = 0.000 eV per atom
# Magnetization = 0.00 μB per atom
# Raw formation energy = -0.145 eV per atom
data_SnAuSe3
_cell_length_a 3.8219
_cell_length_b 19.1299
_cell_length_c 7.2168
_cell_angle_alpha 90.00
_cell_angle_beta 90.00
_cell_angle_gamma 90.00
_space_group_name_H-M_alt 'C m c 21'
_space_group_IT_number 36
loop_
_space_group_symop_operation_xyz
'x,y,z'
'-x,-y,z+1/2'
'-x,y,z'
'x,-y,z+1/2'
'x+1/2,y+1/2,z'
'-x+1/2,-y+1/2,z+1/2'
'-x+1/2,y+1/2,z'
'x+1/2,-y+1/2,z+1/2'
loop_
_atom_site_label
_atom_site_type_symbol
_atom_site_fract_x
_atom_site_fract_y
_atom_site_fract_z
Sn1 Sn 0.0000 0.1457 0.0000
Au1 Au 0.0000 0.3454 0.0124
Se1 Se 0.0000 0.0842 0.6503
Se2 Se 0.0000 0.2292 0.3786
Se3 Se 0.0000 0.4347 0.6329

=====

# PBE Cr2NiHg, relaxed
# Energy of formation from the pure elements = 0.43 eV per atom
# Crystal system = tetragonal
# Magnetization = 0.26 μB per atom
data_Cr2NiHg
_cell_length_a 3.2708
_cell_length_b 3.2708
_cell_length_c 5.4182
_cell_angle_alpha 90.00
_cell_angle_beta 90.00
_cell_angle_gamma 90.00
_space_group_name_H-M_alt 'P 4/m m m'
_space_group_IT_number 123
_space_group_name_Hall '-P 4 2'
loop_
_atom_site_label
_atom_site_type_symbol
_atom_site_fract_x
_atom_site_fract_y
_atom_site_fract_z
Cr1 Cr 0.0000 0.0000 0.1776
Ni1 Ni 0.5000 0.5000 0.0000
Hg1 Hg 0.5000 0.5000 0.5000

=====

# PBE ThPa5N6, relaxed
# Crystal system = monoclinic
# Magnetization = 0.00 μB per atom
# Raw formation energy = -1.624 eV per atom
data_ThPa5N6
_cell_length_a 6.1100
_cell_length_b 10.5771
_cell_length_c 6.1097
_cell_angle_alpha 90.00
_cell_angle_beta 109.44
_cell_angle_gamma 90.00
_space_group_name_H-M_alt 'C 1 2/m 1'
_space_group_IT_number 12
loop_
_space_group_symop_operation_xyz
'x,y,z'
'-x,-y,-z'
'-x,y,-z'
'x,-y,z'
'x+1/2,y+1/2,z'
'-x+1/2,-y+1/2,-z'
'-x+1/2,y+1/2,-z'
'x+1/2,-y+1/2,z'
loop_
_atom_site_label
_atom_site_type_symbol
_atom_site_fract_x
_atom_site_fract_y
_atom_site_fract_z
Th1 Th 0.0000 0.0000 0.0000
Pa1 Pa 0.0000 0.1653 0.5000
Pa2 Pa 0.0000 0.3331 0.0000
Pa3 Pa 0.0000 0.5000 0.5000
N1 N 0.2410 0.5000 0.2543
N2 N 0.2424 0.3286 0.7423

=====

# PBE Er4Hg3Ru, relaxed
# Energy of formation from the pure elements = -0.49 eV per atom
# Crystal system = tetragonal
# Magnetization = 0.00 μB per atom
data_Er4Hg3Ru
_cell_length_a 3.5300
_cell_length_b 3.5300
_cell_length_c 15.1477
_cell_angle_alpha 90.00
_cell_angle_beta 90.00
_cell_angle_gamma 90.00
_space_group_name_H-M_alt 'P 4/m m m'
_space_group_IT_number 123
_space_group_name_Hall '-P 4 2'
loop_
_atom_site_label
_atom_site_type_symbol
_atom_site_fract_x
_atom_site_fract_y
_atom_site_fract_z
Er1 Er 0.0000 0.0000 0.1062
Er2 Er 0.0000 0.0000 0.3710
Hg1 Hg 0.5000 0.5000 0.2431
Hg2 Hg 0.5000 0.5000 0.5000
Ru1 Ru 0.5000 0.5000 0.0000

=====

# PBE AlBPO2, relaxed
# Crystal system = tetragonal
# Polymorph energy (0 for the lowest one) = 0.000 eV per atom
# Magnetization = 0.01 μB per atom
# Raw formation energy = -0.271 eV per atom
data_AlBPO2
_cell_length_a 3.3672
_cell_length_b 3.3672
_cell_length_c 6.9489
_cell_angle_alpha 90.00
_cell_angle_beta 90.00
_cell_angle_gamma 90.00
_space_group_name_H-M_alt 'P 4/m m m'
_space_group_IT_number 123
_space_group_name_Hall '-P 4 2'
loop_
_atom_site_label
_atom_site_type_symbol
_atom_site_fract_x
_atom_site_fract_y
_atom_site_fract_z
Al1 Al 0.0000 0.0000 0.0000
B1 B 0.5000 0.5000 0.5000
P1 P 0.0000 0.0000 0.5000
O1 O 0.0000 0.5000 0.0000

=====

# PBE Y4TcCl5, relaxed
# Crystal system = monoclinic
# Magnetization = 0.00 μB per atom
# Raw formation energy = -1.505 eV per atom
data_Y4TcCl5
_cell_length_a 17.6966
_cell_length_b 3.7338
_cell_length_c 8.9603
_cell_angle_alpha 90.00
_cell_angle_beta 105.13
_cell_angle_gamma 90.00
_space_group_name_H-M_alt 'C 1 2/m 1'
_space_group_IT_number 12
loop_
_space_group_symop_operation_xyz
'x,y,z'
'-x,-y,-z'
'-x,y,-z'
'x,-y,z'
'x+1/2,y+1/2,z'
'-x+1/2,-y+1/2,-z'
'-x+1/2,y+1/2,-z'
'x+1/2,-y+1/2,z'
loop_
_atom_site_label
_atom_site_type_symbol
_atom_site_fract_x
_atom_site_fract_y
_atom_site_fract_z
Y1 Y 0.0043 0.0000 0.2444
Y2 Y 0.1477 0.5000 0.0794
Tc1 Tc 0.0000 0.5000 0.0000
Cl1 Cl 0.0000 0.5000 0.5000
Cl2 Cl 0.1697 0.0000 0.3161
Cl3 Cl 0.1735 0.0000 0.8613

=====

# PBE Be2NCl, relaxed
# Crystal system = cubic
# Polymorph energy (0 for the lowest one) = 2.018 eV per atom
# Magnetization = 0.00 μB per atom
# Raw formation energy = 0.989 eV per atom
data_Be2NCl
_cell_length_a 5.4428
_cell_length_b 5.4428
_cell_length_c 5.4428
_cell_angle_alpha 90.00
_cell_angle_beta 90.00
_cell_angle_gamma 90.00
_space_group_name_H-M_alt 'F m -3 m'
_space_group_IT_number 225
_space_group_name_Hall '-F 4 2 3'
loop_
_atom_site_label
_atom_site_type_symbol
_atom_site_fract_x
_atom_site_fract_y
_atom_site_fract_z
Be1 Be 0.2500 0.2500 0.2500
N1 N 0.0000 0.0000 0.0000
Cl1 Cl 0.0000 0.0000 0.5000

=====

# PBE ZnGa2Pb, relaxed
# Energy of formation from the pure elements = 0.08 eV per atom
# Crystal system = tetragonal
# Polymorph energy (0 for the lowest one) = 0.000 eV per atom
# Magnetization = 0.00 μB per atom
data_ZnGa2Pb
_cell_length_a 3.3958
_cell_length_b 3.3958
_cell_length_c 7.4988
_cell_angle_alpha 90.00
_cell_angle_beta 90.00
_cell_angle_gamma 90.00
_space_group_name_H-M_alt 'P 4/m m m'
_space_group_IT_number 123
_space_group_name_Hall '-P 4 2'
loop_
_atom_site_label
_atom_site_type_symbol
_atom_site_fract_x
_atom_site_fract_y
_atom_site_fract_z
Zn1 Zn 0.0000 0.0000 0.0000
Ga1 Ga 0.5000 0.5000 0.1990
Pb1 Pb 0.0000 0.0000 0.5000